# TaTi3Hg, optimized geometry, DFT PBE
data_TaTi3Hg
_chemical_formula_sum 'Ta1 Ti3 Hg1'
_cell_length_a 4.830
_cell_length_b 4.830
_cell_length_c 4.830
_cell_angle_alpha 90.00
_cell_angle_beta 90.00
_cell_angle_gamma 90.00
_space_group_name_H-M_alt 'P m -3 m'
_space_group_IT_number 221
_space_group_name_Hall '-P 4 2 3'
loop_
_atom_site_label
_atom_site_type_symbol
_atom_site_fract_x
_atom_site_fract_y
_atom_site_fract_z
Ta1 Ta 0.000 0.000 0.000
Ti1 Ti 0.000 0.000 0.500
Hg1 Hg 0.500 0.500 0.500
# - E_form: 971 meV per atom
# - E above lowest polymorph: 942 meV per atom
# - Density of states at the Fermi level: 7.404 states/eV per cell